A plane-wave DFT calculation with PBE was carried out for a relaxed structure of CsMo2Ru.

Properties
* DOS at the Fermi energy: 5.4 states/eV/f.u.
* V: 28.63 A^3/atom
* energy above the most stable polymorph in this dataset: 1.041 kcal/mol of atoms
* space-group type: No. 141
* energy: -49.38 eV per cell
* total moment: 0.000 μB/cell

```
data_CsMo2Ru
_cell_length_a 5.203
_cell_length_b 5.203
_cell_length_c 9.227
_cell_angle_alpha 73.62
_cell_angle_beta 73.62
_cell_angle_gamma 90.00
_space_group_name_H-M_alt 'P 1'
_space_group_IT_number 1
loop_
_space_group_symop_operation_xyz
'x,y,z'
loop_
_atom_site_label
_atom_site_type_symbol
_atom_site_fract_x
_atom_site_fract_y
_atom_site_fract_z
_atom_site_occupancy
Cs1 Cs 0.000 0.000 0.000 1
Cs2 Cs 0.750 0.250 0.500 1
Ru1 Ru 0.500 0.500 0.000 1
Ru2 Ru 0.250 0.750 0.500 1
Mo1 Mo 0.375 0.125 0.250 1
Mo2 Mo 0.375 0.625 0.250 1
Mo3 Mo 0.375 0.625 0.750 1
Mo4 Mo 0.875 0.625 0.750 1
```